Record 1
Density functional theory data (PBE) for a relaxed structure of CaTcAs2.

Values from the calculation:
Volume ... 82 Å³/cell
Electronic total energy ... -22.7 eV for the cell shown
Crystal system ... orthorhombic

Cell: 3.683 4.205 5.306 Å, 90.00 90.00 90.00°
Space group Pmmm (No. 47)
Inequivalent atoms, fractional coordinates:
Ca (0.000, 0.000, 0.000)
Tc (0.500, 0.000, 0.500)
As (0.500, 0.500, 0.242)


Record 2
Density functional theory data (PBE) for a relaxed structure of Dy3Fe7Co2.

Values from the calculation:
Volume ... 546 Å³/cell
Electronic total energy ... -265.3 eV for the cell shown
Crystal system ... trigonal

Cell: 5.0805 5.0805 24.4270 Å, 90.00 90.00 120.00°
Space group R-3m (No. 166, hexagonal axes)
Inequivalent atoms, fractional coordinates:
Dy (0.0000, 0.0000, 0.0000)
Dy (0.0000, 0.0000, 0.1421)
Fe (0.0000, 0.0000, 0.5000)
Fe (0.0013, 0.5006, 0.0812)
Co (0.0000, 0.0000, 0.3323)


Sequential spin magnetization output: 0.0, 16.9 μB/f.u.
Sequential ΔH_f (0 K) output: -0.271, -0.098 eV/atom